Record 1
Entry from Alexandria via LeMat-Bulk: crystalline AcLa2Tl at its relaxed geometry (PBE-GGA).

Lattice parameters (Å, degrees): 3.766 3.766 12.966 81.65 81.65 60.00
Fractional positions:
Tl 0.000 0.000 0.000
La 0.087 0.087 0.738
Ac 0.500 0.500 0.500
La 0.913 0.913 0.262

DFT formation energy	105	meV per atom
relative energy among the computed polymorphs	306	meV/atom
space-group type	R-3m, No. 166

Record 2
Entry from Alexandria via LeMat-Bulk: crystalline AcLa9Tl2 at its relaxed geometry (PBE-GGA).

Lattice parameters (Å, degrees): 5.145 5.145 15.602 90.00 90.00 90.00
Fractional positions:
La 0.500 0.500 0.658
La 0.500 0.000 0.176
La 0.000 0.500 0.176
La 0.500 0.000 0.500
Tl 0.000 0.000 0.339
Ac 0.000 0.000 0.000
La 0.500 0.000 0.824
Tl 0.000 0.000 0.661
La 0.500 0.500 0.342
La 0.000 0.500 0.824
La 0.500 0.500 0.000
La 0.000 0.500 0.500

DFT formation energy	-147	meV per atom
space-group type	P4/mmm, No. 123

Record 3
Entry from Alexandria via LeMat-Bulk: crystalline Ac6LaTl2 at its relaxed geometry (PBE-GGA).

Lattice parameters (Å, degrees): 6.672 10.580 10.580 73.02 85.21 85.21
Fractional positions:
Ac 0.173 0.358 0.101
Ac 0.811 0.025 0.743
Ac 0.689 0.257 0.975
Ac 0.327 0.899 0.642
Ac 0.673 0.101 0.358
Ac 0.827 0.642 0.899
Ac 0.189 0.975 0.257
Tl 0.410 0.533 0.786
Tl 0.090 0.214 0.467
Ac 0.489 0.678 0.438
Ac 0.011 0.562 0.322
La 0.750 0.889 0.111
La 0.250 0.111 0.889
Ac 0.989 0.438 0.678
Tl 0.590 0.467 0.214
Ac 0.311 0.743 0.025
Tl 0.910 0.786 0.533
Ac 0.511 0.322 0.562

DFT formation energy	-87	meV per atom
relative energy among the computed polymorphs	62	meV/atom
space-group type	C2/c, No. 15

Record 4
Entry from Alexandria via LeMat-Bulk: crystalline Ac2LaTl at its relaxed geometry (PBE-GGA).

Lattice parameters (Å, degrees): 3.956 3.956 9.840 90.00 90.00 90.00
Fractional positions:
La 0.500 0.500 0.500
Ac 0.000 0.000 0.774
Tl 0.500 0.500 0.000
Ac 0.000 0.000 0.226

DFT formation energy	-145	meV per atom
relative energy among the computed polymorphs	18	meV/atom
space-group type	P4/mmm, No. 123

Record 5
Entry from Alexandria via LeMat-Bulk: crystalline AcLa2Tl4 at its relaxed geometry (PBE-GGA).

Lattice parameters (Å, degrees): 6.894 6.894 6.894 111.47 108.48 108.48
Fractional positions:
Tl 0.000 0.000 0.500
Tl 0.500 0.000 0.000
Tl 0.000 0.500 0.000
Ac 0.000 0.000 0.000
Tl 0.500 0.500 0.500
La 0.500 0.500 0.000
La 0.500 0.000 0.500

DFT formation energy	-242	meV per atom
space-group type	I4/mmm, No. 139

Record 6
Entry from Alexandria via LeMat-Bulk: crystalline Ac2La4Tl at its relaxed geometry (PBE-GGA).

Lattice parameters (Å, degrees): 3.825 3.836 18.298 90.00 96.00 90.00
Fractional positions:
La 0.058 0.500 0.116
Tl 0.500 0.000 0.000
Ac 0.797 0.500 0.594
Ac 0.203 0.500 0.406
La 0.371 0.000 0.743
La 0.942 0.500 0.884
La 0.629 0.000 0.257

DFT formation energy	-54	meV per atom
space-group type	Cmmm, No. 65

Record 7
Entry from Alexandria via LeMat-Bulk: crystalline AcLa5Tl2 at its relaxed geometry (PBE-GGA).

Lattice parameters (Å, degrees): 3.854 8.811 8.811 79.66 77.37 77.37
Fractional positions:
Tl 0.265 0.235 0.235
La 0.640 0.137 0.582
Tl 0.735 0.765 0.765
La 0.000 0.500 0.500
Ac 0.000 0.000 0.000
La 0.360 0.418 0.863
La 0.640 0.582 0.137
La 0.360 0.863 0.418

DFT formation energy	-167	meV per atom
relative energy among the computed polymorphs	53	meV/atom
space-group type	Immm, No. 71

Record 8
Entry from Alexandria via LeMat-Bulk: crystalline Ac2LaTl4 at its relaxed geometry (PBE-GGA).

Lattice parameters (Å, degrees): 5.750 5.750 8.623 109.48 109.48 90.00
Fractional positions:
Tl 0.891 0.391 0.781
Ac 0.738 0.738 0.476
Tl 0.609 0.109 0.219
La 0.000 0.000 0.000
Tl 0.109 0.609 0.219
Tl 0.391 0.891 0.781
Ac 0.262 0.262 0.524

DFT formation energy	-237	meV per atom
space-group type	I4/mmm, No. 139